Below is a geometry-optimized YThTcRh structure, with properties calculated at the PBE level.

Values from the calculation:
energy of formation	-414	meV per atom
magnetization	0.00	Bohr magnetons per cell
SG	No. 216

abc: 4.9475 4.9475 4.9475
angles: 60.00 60.00 60.00
Closest atoms and distances in Å follow each position.
Fractional coordinates of all 4 atoms:
Y 0.0000 0.0000 0.0000  4 Rh 3.03, 4 Tc 3.03
Th 0.5000 0.5000 0.5000  4 Tc 3.03, 4 Rh 3.03
Tc 0.2500 0.2500 0.2500  4 Th 3.03, 4 Y 3.03
Rh 0.7500 0.7500 0.7500  4 Th 3.03, 4 Y 3.03



Below is a geometry-optimized ThZrTcRh structure, with properties calculated at the PBE level.

Values from the calculation:
energy of formation	-448	meV per atom
magnetization	0.00	Bohr magnetons per cell
SG	No. 216

abc: 4.8533 4.8533 4.8533
angles: 60.00 60.00 60.00
Closest atoms and distances in Å follow each position.
Fractional coordinates of all 4 atoms:
Th 0.0000 0.0000 0.0000  4 Rh 2.97, 4 Tc 2.97
Zr 0.5000 0.5000 0.5000  4 Rh 2.97, 4 Tc 2.97
Tc 0.2500 0.2500 0.2500  4 Zr 2.97, 4 Th 2.97
Rh 0.7500 0.7500 0.7500  4 Zr 2.97, 4 Th 2.97



Below is a geometry-optimized Ti4Tc3Rh structure, with properties calculated at the PBE level.

Values from the calculation:
energy of formation	-628	meV per atom
magnetization	0.00	Bohr magnetons per cell
SG	No. 47

abc: 3.0923 4.4007 8.7712
angles: 90.00 90.00 90.00
Closest atoms and distances in Å follow each position.
Fractional coordinates of all 8 atoms:
Ti 0.0000 0.0000 0.0000  8 Tc 2.69-2.71
Ti 0.0000 0.0000 0.5000  4 Tc 2.66, 4 Rh 2.69
Ti 0.0000 0.5000 0.2452  6 Tc 2.65-2.69, 2 Rh 2.72
Ti 0.0000 0.5000 0.7548  6 Tc 2.65-2.69, 2 Rh 2.72
Tc 0.5000 0.0000 0.2535  8 Ti 2.66-2.71
Tc 0.5000 0.0000 0.7465  8 Ti 2.66-2.71
Tc 0.5000 0.5000 0.0000  8 Ti 2.65-2.69
Rh 0.5000 0.5000 0.5000  8 Ti 2.69-2.72



Below is a geometry-optimized Ti2TcRh2 structure, with properties calculated at the PBE level.

Values from the calculation:
energy of formation	-360	meV per atom
magnetization	0.00	Bohr magnetons per cell
SG	No. 127
polymorph energy (0 for the lowest one)	19	kJ/mol of formula units

abc: 7.2683 7.2683 2.8969
angles: 90.00 90.00 90.00
Closest atoms and distances in Å follow each position.
Fractional coordinates of all 10 atoms:
Ti 0.1689 0.3311 0.0000  6 Rh 2.50-2.64
Ti 0.3311 0.8311 0.0000  6 Rh 2.50-2.64
Ti 0.6689 0.1689 0.0000  6 Rh 2.50-2.64
Ti 0.8311 0.6689 0.0000  6 Rh 2.50-2.64
Tc 0.0000 0.0000 0.5000  4 Rh 2.84, 2 Tc 2.90, 8 Ti 3.07
Tc 0.5000 0.5000 0.5000  4 Rh 2.84, 2 Tc 2.90, 8 Ti 3.07
Rh 0.1325 0.6325 0.5000  6 Ti 2.50-2.64, 1 Rh 2.72
Rh 0.3675 0.1325 0.5000  6 Ti 2.50-2.64, 1 Rh 2.72
Rh 0.6325 0.8675 0.5000  6 Ti 2.50-2.64, 1 Rh 2.72
Rh 0.8675 0.3675 0.5000  6 Ti 2.50-2.64, 1 Rh 2.72



> magnetization of number 4 (Ti2TcRh2)?

0.00 Bohr magnetons per cell



What did the fourth record say?
Below is a geometry-optimized Ti2TcRh2 structure, with properties calculated at the PBE level.

Values from the calculation:
energy of formation	-360	meV per atom
magnetization	0.00	Bohr magnetons per cell
SG	No. 127
polymorph energy (0 for the lowest one)	19	kJ/mol of formula units

abc: 7.2683 7.2683 2.8969
angles: 90.00 90.00 90.00
Closest atoms and distances in Å follow each position.
Fractional coordinates of all 10 atoms:
Ti 0.1689 0.3311 0.0000  6 Rh 2.50-2.64
Ti 0.3311 0.8311 0.0000  6 Rh 2.50-2.64
Ti 0.6689 0.1689 0.0000  6 Rh 2.50-2.64
Ti 0.8311 0.6689 0.0000  6 Rh 2.50-2.64
Tc 0.0000 0.0000 0.5000  4 Rh 2.84, 2 Tc 2.90, 8 Ti 3.07
Tc 0.5000 0.5000 0.5000  4 Rh 2.84, 2 Tc 2.90, 8 Ti 3.07
Rh 0.1325 0.6325 0.5000  6 Ti 2.50-2.64, 1 Rh 2.72
Rh 0.3675 0.1325 0.5000  6 Ti 2.50-2.64, 1 Rh 2.72
Rh 0.6325 0.8675 0.5000  6 Ti 2.50-2.64, 1 Rh 2.72
Rh 0.8675 0.3675 0.5000  6 Ti 2.50-2.64, 1 Rh 2.72



> The highest energy of formation belongs to which entry?

Ti2TcRh2



> magnetization of number 4 (Ti2TcRh2)?

0.00 Bohr magnetons per cell